A plane-wave DFT calculation with GGA-PBE was carried out for a relaxed NdTh2Tc crystal.

Properties
For the energy above the lowest structure with this stoichiometry, the calculation gives 159.9 meV/atom.

Unit cell a=4.0640 b=4.0640 c=26.3488 alpha=90.00 beta=90.00 gamma=120.00
Space group R3m (No. 160, hexagonal axes)
Symmetry-distinct sites (fractional):
1 Nd 0.0000 0.0000 0.0000 (multiplicity 3)
2 Th 0.0000 0.0000 0.2272 (multiplicity 3)
3 Th 0.0000 0.0000 0.4442 (multiplicity 3)
4 Tc 0.0000 0.0000 0.8389 (multiplicity 3)


A plane-wave DFT calculation with GGA-PBE was carried out for a relaxed NdYThTc crystal.

Unit cell a=4.6146 b=4.6146 c=19.5632 alpha=90.00 beta=90.00 gamma=120.00
Space group R3m (No. 160, hexagonal axes)
Symmetry-distinct sites (fractional):
1 Nd 0.0000 0.0000 0.0000 (multiplicity 3)
2 Y 0.0000 0.0000 0.2136 (multiplicity 3)
3 Th 0.0000 0.0000 0.4434 (multiplicity 3)
4 Tc 0.0000 0.0000 0.7985 (multiplicity 3)


A plane-wave DFT calculation with GGA-PBE was carried out for a relaxed NdTi2Tc crystal.

Unit cell a=3.194 b=3.194 c=7.828 alpha=90.00 beta=90.00 gamma=90.00
Space group P4/mmm (No. 123)
Symmetry-distinct sites (fractional):
1 Nd 0.000 0.000 0.000 (multiplicity 1)
2 Ti 0.500 0.500 0.319 (multiplicity 2)
3 Tc 0.000 0.000 0.500 (multiplicity 1)


A plane-wave DFT calculation with GGA-PBE was carried out for a relaxed Nd3TlTc crystal.

Properties
For the energy above the lowest structure with this stoichiometry, the calculation gives 0.0 meV/atom.

Unit cell a=8.952 b=4.106 c=9.029 alpha=90.00 beta=116.86 gamma=90.00
Space group P2_1/m (No. 11)
Symmetry-distinct sites (fractional):
1 Nd 0.038 0.250 0.209 (multiplicity 2)
2 Nd 0.336 0.250 0.900 (multiplicity 2)
3 Nd 0.347 0.750 0.572 (multiplicity 2)
4 Tl 0.322 0.750 0.188 (multiplicity 2)
5 Tc 0.062 0.250 0.567 (multiplicity 2)


A plane-wave DFT calculation with GGA-PBE was carried out for a relaxed Nd3TlTc crystal.

Properties
For the energy above the lowest structure with this stoichiometry, the calculation gives 193.6 meV/atom.

Unit cell a=5.423 b=5.423 c=5.423 alpha=90.00 beta=90.00 gamma=90.00
Space group Pm-3m (No. 221)
Symmetry-distinct sites (fractional):
1 Nd 0.000 0.000 0.500 (multiplicity 3)
2 Tl 0.500 0.500 0.500 (multiplicity 1)
3 Tc 0.000 0.000 0.000 (multiplicity 1)


A plane-wave DFT calculation with GGA-PBE was carried out for a relaxed Nd4TlTc crystal.

Unit cell a=8.944 b=13.342 c=6.447 alpha=90.00 beta=107.13 gamma=90.00
Space group C2/c (No. 15)
Symmetry-distinct sites (fractional):
1 Nd 0.109 0.167 0.046 (multiplicity 8)
2 Nd 0.218 0.420 0.397 (multiplicity 8)
3 Tl 0.000 0.377 0.750 (multiplicity 4)
4 Tc 0.000 0.001 0.750 (multiplicity 4)


A plane-wave DFT calculation with GGA-PBE was carried out for a relaxed Nd6TlTc2 crystal.

Unit cell a=9.863 b=10.079 c=10.661 alpha=90.00 beta=90.00 gamma=90.00
Space group Immm (No. 71)
Symmetry-distinct sites (fractional):
1 Nd 0.000 0.217 0.229 (multiplicity 8)
2 Nd 0.209 0.500 0.187 (multiplicity 8)
3 Nd 0.214 0.308 0.500 (multiplicity 8)
4 Tl 0.000 0.000 0.000 (multiplicity 2)
5 Tl 0.000 0.000 0.500 (multiplicity 2)
6 Tc 0.000 0.382 0.000 (multiplicity 4)
7 Tc 0.000 0.500 0.389 (multiplicity 4)


A plane-wave DFT calculation with GGA-PBE was carried out for a relaxed Nd12Tl6Tc crystal.

Unit cell a=12.5409 b=12.5409 c=13.7656 alpha=90.00 beta=90.00 gamma=120.00
Space group R-3 (No. 148, hexagonal axes)
Symmetry-distinct sites (fractional):
1 Nd 0.0375 0.8457 0.3908 (multiplicity 18)
2 Nd 0.0432 0.1908 0.8731 (multiplicity 18)
3 Tl 0.0071 0.6043 0.2634 (multiplicity 18)
4 Tc 0.0000 0.0000 0.0000 (multiplicity 3)


A plane-wave DFT calculation with GGA-PBE was carried out for a relaxed NdTmTc crystal.

Properties
For the energy above the lowest structure with this stoichiometry, the calculation gives 0.0 meV/atom.

Unit cell a=3.492 b=3.492 c=12.652 alpha=90.00 beta=90.00 gamma=90.00
Space group I4mm (No. 107)
Symmetry-distinct sites (fractional):
1 Nd 0.000 0.000 0.000 (multiplicity 2)
2 Tm 0.000 0.000 0.260 (multiplicity 2)
3 Tc 0.000 0.000 0.637 (multiplicity 2)


A plane-wave DFT calculation with GGA-PBE was carried out for a relaxed NdTm2Tc crystal.

Properties
For the energy above the lowest structure with this stoichiometry, the calculation gives 56.4 meV/atom.

Unit cell a=3.424 b=3.424 c=9.060 alpha=90.00 beta=90.00 gamma=90.00
Space group P4/mmm (No. 123)
Symmetry-distinct sites (fractional):
1 Nd 0.000 0.000 0.000 (multiplicity 1)
2 Tm 0.500 0.500 0.320 (multiplicity 2)
3 Tc 0.000 0.000 0.500 (multiplicity 1)


A plane-wave DFT calculation with GGA-PBE was carried out for a relaxed NdTm4Tc crystal.

Unit cell a=8.721 b=3.716 c=20.354 alpha=90.00 beta=90.00 gamma=90.00
Space group Pnma (No. 62)
Symmetry-distinct sites (fractional):
1 Nd 0.226 0.250 0.188 (multiplicity 4)
2 Tm 0.010 0.750 0.566 (multiplicity 4)
3 Tm 0.041 0.750 0.295 (multiplicity 4)
4 Tm 0.132 0.750 0.043 (multiplicity 4)
5 Tm 0.150 0.750 0.859 (multiplicity 4)
6 Tc 0.239 0.750 0.454 (multiplicity 4)


A plane-wave DFT calculation with GGA-PBE was carried out for a relaxed NdTm2Tc crystal.

Properties
For the energy above the lowest structure with this stoichiometry, the calculation gives 258.9 meV/atom.

Unit cell a=4.8080 b=4.8080 c=15.3275 alpha=90.00 beta=90.00 gamma=120.00
Space group R-3m (No. 166, hexagonal axes)
Symmetry-distinct sites (fractional):
1 Nd 0.0000 0.0000 0.0000 (multiplicity 3)
2 Tm 0.0000 0.0000 0.2252 (multiplicity 6)
3 Tc 0.0000 0.0000 0.5000 (multiplicity 3)


A plane-wave DFT calculation with GGA-PBE was carried out for a relaxed NdTmTc crystal.

Properties
For the energy above the lowest structure with this stoichiometry, the calculation gives 262.4 meV/atom.

Unit cell a=3.353 b=6.106 c=15.513 alpha=90.00 beta=90.00 gamma=90.00
Space group Immm (No. 71)
Symmetry-distinct sites (fractional):
1 Nd 0.000 0.000 0.115 (multiplicity 4)
2 Tm 0.000 0.000 0.331 (multiplicity 4)
3 Tc 0.000 0.192 0.500 (multiplicity 4)


no.,DOS at the Fermi energy (states/eV per cell),ΔH_f (0 K) (eV/atom)
1,16.18,0.063
2,15.18,0.138
3,4.61,-0.120
4,11.74,-0.128
5,3.93,0.066
6,25.34,-0.152
7,34.97,-0.068
8,58.40,-0.125
9,8.10,0.018
10,6.99,-0.032
11,20.69,-0.035
12,11.22,0.170
13,11.85,0.280